The following is a GGA-PBE calculation of a relaxed Pr2Os crystal, from the Open Quantum Materials Database.

```
Pr2Os
1.0
0.0000 4.2482 4.2482
4.2482 0.0000 4.2482
4.2482 4.2482 0.0000
Pr Os
4 2
direct
0.1250 0.6250 0.6250
0.6250 0.1250 0.6250
0.6250 0.6250 0.1250
0.6250 0.6250 0.6250
0.2500 0.2500 0.2500
0.0000 0.0000 0.0000
```

Summary:
space group = No. 227
calculated volume = 25.56 A^3/atom
raw total energy = -0.2044 Ha/atom
energy of formation = 394.7 kJ/mol of formula units